Here is crystalline SrLiSi2 at its relaxed geometry from Alexandria via LeMat-Bulk. Energies are from GGA-PBEsol.

CIF file:
```
data_SrLiSi2
_cell_length_a 8.380
_cell_length_b 3.844
_cell_length_c 5.779
_cell_angle_alpha 90.00
_cell_angle_beta 110.42
_cell_angle_gamma 90.00
_symmetry_space_group_name_H-M 'C 1 2/m 1'
_symmetry_Int_Tables_number 12
loop_
_symmetry_equiv_pos_as_xyz
'x,y,z'
'-x,-y,-z'
'-x,y,-z'
'x,-y,z'
'x+1/2,y+1/2,z'
'-x+1/2,-y+1/2,-z'
'-x+1/2,y+1/2,-z'
'x+1/2,-y+1/2,z'
loop_
_atom_site_label
_atom_site_fract_x
_atom_site_fract_y
_atom_site_fract_z
_atom_site_occupancy
Sr1 0.000 0.000 0.000 1
Li1 0.000 0.500 0.500 1
Si1 0.233 0.000 0.616 1
```

Summary:
ΔE_f (raw) = -316 meV/atom
ΔE to the lowest computed polymorph = 0.000 eV/atom

Here is crystalline Cs2SBrCl6 at its relaxed geometry from Alexandria via LeMat-Bulk. Energies are from GGA-PBEsol.

CIF file:
```
data_Cs2SBrCl6
_cell_length_a 10.483
_cell_length_b 10.483
_cell_length_c 10.483
_cell_angle_alpha 90.00
_cell_angle_beta 90.00
_cell_angle_gamma 90.00
_symmetry_space_group_name_H-M 'F m -3 m'
_symmetry_Int_Tables_number 225
_symmetry_space_group_name_Hall '-F 4 2 3'
loop_
_atom_site_label
_atom_site_fract_x
_atom_site_fract_y
_atom_site_fract_z
_atom_site_occupancy
Cs1 0.250 0.250 0.250 1
S1 0.000 0.000 0.000 1
Br1 0.000 0.000 0.500 1
Cl1 0.000 0.000 0.220 1
```

Summary:
ΔE_f (raw) = -894 meV/atom

Here is crystalline CsTl2RhSe at its relaxed geometry from Alexandria via LeMat-Bulk. Energies are from GGA-PBEsol.

CIF file:
```
data_CsTl2RhSe
_cell_length_a 6.226
_cell_length_b 6.226
_cell_length_c 4.831
_cell_angle_alpha 90.00
_cell_angle_beta 90.00
_cell_angle_gamma 90.00
_symmetry_space_group_name_H-M 'P 4/m m m'
_symmetry_Int_Tables_number 123
_symmetry_space_group_name_Hall '-P 4 2'
loop_
_atom_site_label
_atom_site_fract_x
_atom_site_fract_y
_atom_site_fract_z
_atom_site_occupancy
Cs1 0.000 0.000 0.000 1
Tl1 0.000 0.500 0.000 1
Rh1 0.000 0.000 0.500 1
Se1 0.500 0.500 0.500 1
```

Summary:
ΔE_f (raw) = 1180 meV/atom

Here is crystalline BeSeBr4 at its relaxed geometry from Alexandria via LeMat-Bulk. Energies are from GGA-PBEsol.

CIF file:
```
data_BeSeBr4
_cell_length_a 8.462
_cell_length_b 8.462
_cell_length_c 8.462
_cell_angle_alpha 90.00
_cell_angle_beta 90.00
_cell_angle_gamma 90.00
_symmetry_space_group_name_H-M 'F -4 3 m'
_symmetry_Int_Tables_number 216
_symmetry_space_group_name_Hall 'F -4 2 3'
loop_
_atom_site_label
_atom_site_fract_x
_atom_site_fract_y
_atom_site_fract_z
_atom_site_occupancy
Be1 0.000 0.000 0.000 1
Se1 0.250 0.250 0.250 1
Br1 0.125 0.125 0.625 1
```

Summary:
ΔE_f (raw) = 1107 meV/atom

Here is crystalline Sr2YAs at its relaxed geometry from Alexandria via LeMat-Bulk. Energies are from GGA-PBEsol.

CIF file:
```
data_Sr2YAs
_cell_length_a 3.860
_cell_length_b 4.196
_cell_length_c 17.980
_cell_angle_alpha 90.00
_cell_angle_beta 90.00
_cell_angle_gamma 90.00
_symmetry_space_group_name_H-M 'I m m m'
_symmetry_Int_Tables_number 71
_symmetry_space_group_name_Hall '-I 2 2'
loop_
_atom_site_label
_atom_site_fract_x
_atom_site_fract_y
_atom_site_fract_z
_atom_site_occupancy
Sr1 0.000 0.000 0.163 1
Y1 0.000 0.500 0.000 1
As1 0.000 0.500 0.500 1
```

Summary:
ΔE_f = -0.56 eV per atom

Here is crystalline Ba3SiBr at its relaxed geometry from Alexandria via LeMat-Bulk. Energies are from GGA-PBEsol.

CIF file:
```
data_Ba3SiBr
_cell_length_a 5.982
_cell_length_b 5.982
_cell_length_c 5.982
_cell_angle_alpha 90.00
_cell_angle_beta 90.00
_cell_angle_gamma 90.00
_symmetry_space_group_name_H-M 'P m -3 m'
_symmetry_Int_Tables_number 221
_symmetry_space_group_name_Hall '-P 4 2 3'
loop_
_atom_site_label
_atom_site_fract_x
_atom_site_fract_y
_atom_site_fract_z
_atom_site_occupancy
Ba1 0.000 0.000 0.500 1
Si1 0.500 0.500 0.500 1
Br1 0.000 0.000 0.000 1
```

Summary:
ΔE_f (raw) = -343 meV/atom

Here is crystalline YNiOs at its relaxed geometry from Alexandria via LeMat-Bulk. Energies are from GGA-PBEsol.

CIF file:
```
data_YNiOs
_cell_length_a 3.245
_cell_length_b 3.245
_cell_length_c 9.598
_cell_angle_alpha 90.00
_cell_angle_beta 90.00
_cell_angle_gamma 90.00
_symmetry_space_group_name_H-M 'I 4 m m'
_symmetry_Int_Tables_number 107
_symmetry_space_group_name_Hall 'I 4 -2'
loop_
_atom_site_label
_atom_site_fract_x
_atom_site_fract_y
_atom_site_fract_z
_atom_site_occupancy
Y1 0.000 0.000 0.000 1
Ni1 0.000 0.000 0.705 1
Os1 0.000 0.000 0.301 1
```

Summary:
ΔE_f = 0.11 eV per atom
ΔE to the lowest computed polymorph = 0.000 eV/atom

Here is crystalline CaSi2GeMo at its relaxed geometry from Alexandria via LeMat-Bulk. Energies are from GGA-PBEsol.

CIF file:
```
data_CaSi2GeMo
_cell_length_a 4.718
_cell_length_b 4.718
_cell_length_c 4.832
_cell_angle_alpha 90.00
_cell_angle_beta 90.00
_cell_angle_gamma 90.00
_symmetry_space_group_name_H-M 'P 4/m m m'
_symmetry_Int_Tables_number 123
_symmetry_space_group_name_Hall '-P 4 2'
loop_
_atom_site_label
_atom_site_fract_x
_atom_site_fract_y
_atom_site_fract_z
_atom_site_occupancy
Ca1 0.000 0.000 0.000 1
Si1 0.000 0.500 0.500 1
Ge1 0.500 0.500 0.000 1
Mo1 0.500 0.500 0.500 1
```

Summary:
ΔE_f (raw) = 29 meV/atom